Ag5P3 | PBE | relaxed

a = 7.6604 Å, b = 7.6604 Å, c = 5.5996 Å
α = 90.00°, β = 90.00°, γ = 120.00°
Space group P6_3/mcm (No. 193)
Inequivalent atoms, fractional coordinates:
Ag1 0.0000 0.2209 0.2500 (multiplicity 6)
Ag2 0.3333 0.6667 0.0000 (multiplicity 4)
P1 0.0000 0.3942 0.7500 (multiplicity 6)

As for the crystal system: hexagonal. Its energy of formation from the pure elements is 353 meV/atom. For the theoretical density, the calculation gives 7.38 g cm⁻³. As for the energy above the lowest structure with this stoichiometry: 0.169 eV per atom.



Ag7P | PBE | relaxed

a = 8.2659 Å, b = 8.2659 Å, c = 8.2659 Å
α = 90.00°, β = 90.00°, γ = 90.00°
Space group Fm-3m (No. 225)
Inequivalent atoms, fractional coordinates:
Ag1 0.0000 0.0000 0.0000 (multiplicity 4)
Ag2 0.0000 0.2500 0.2500 (multiplicity 24)
P1 0.0000 0.0000 0.5000 (multiplicity 4)

As for the crystal system: cubic. Its energy of formation from the pure elements is 145 meV/atom. For the theoretical density, the calculation gives 9.24 g cm⁻³.



Ag5P3 | PBE | relaxed

a = 5.3591 Å, b = 7.1793 Å, c = 7.9369 Å
α = 88.29°, β = 81.72°, γ = 80.52°
Space group P1 (No. 1)
Inequivalent atoms, fractional coordinates:
Ag1 0.0000 0.0000 0.0000 (multiplicity 1)
Ag2 0.0023 0.9688 0.5711 (multiplicity 1)
Ag3 0.1434 0.2996 0.2455 (multiplicity 1)
Ag4 0.2600 0.3706 0.8845 (multiplicity 1)
Ag5 0.3143 0.6161 0.4951 (multiplicity 1)
Ag6 0.4077 0.7361 0.1215 (multiplicity 1)
Ag7 0.4592 0.9817 0.7288 (multiplicity 1)
Ag8 0.5776 0.0516 0.3675 (multiplicity 1)
Ag9 0.7174 0.3827 0.0431 (multiplicity 1)
Ag10 0.7209 0.3510 0.6160 (multiplicity 1)
P1 0.0489 0.6990 0.8068 (multiplicity 1)
P2 0.2303 0.2581 0.5665 (multiplicity 1)
P3 0.4899 0.0937 0.0460 (multiplicity 1)
P4 0.6691 0.6534 0.8084 (multiplicity 1)
P5 0.7559 0.5609 0.3148 (multiplicity 1)
P6 0.9650 0.7898 0.3002 (multiplicity 1)

As for the crystal system: triclinic. Its energy of formation from the pure elements is 184 meV/atom. For the theoretical density, the calculation gives 7.04 g cm⁻³. As for the energy above the lowest structure with this stoichiometry: 0.000 eV per atom.



no.,total DFT energy (no corrections) (Ha/atom)
1,-0.127
2,-0.111
3,-0.133